! PBE-GGA SrLaCd2, optimized geometry; values from VASP
&SYSTEM
  ibrav = 0, nat = 4, ntyp = 3
/
ATOMIC_SPECIES
Cd 112.41 Cd.upf
La 138.91 La.upf
Sr 87.62 Sr.upf
ATOMIC_POSITIONS angstrom
Cd -3.707 -1.507 -1.423
Cd -7.844 -7.466 3.161
La -4.263 -4.057 1.718
Sr -2.794 -0.397 1.708
CELL_PARAMETERS angstrom
-4.616 -4.635 -1.639
-3.475 -3.066 4.899
1.619 5.825 -2.987
! - Uncorrected energy: -9.33 eV/f.u.
! - ρ: 6.0 g/cm³
! - Volume: 125.8 Å³ per cell
! - ΔE_f: -0.222 eV per atom